1.
BeVTe after structural relaxation. Source: Alexandria, functional PBE.

a b c (Å): 8.129 3.600 8.384
angles (deg): 90.00 111.28 90.00
Fractional coordinates of all 12 atoms:
Be (0.097, 0.000, 0.110)
Be (0.403, 0.500, 0.890)
Be (0.597, 0.500, 0.110)
Be (0.903, 0.000, 0.890)
V (0.120, 0.500, 0.921)
V (0.380, 0.000, 0.079)
V (0.620, 0.000, 0.921)
V (0.880, 0.500, 0.079)
Te (0.233, 0.000, 0.718)
Te (0.267, 0.500, 0.282)
Te (0.733, 0.500, 0.718)
Te (0.767, 0.000, 0.282)

* crystal system: monoclinic
* space group: C2/m, No. 12
* formation energy (no corrections): -100 meV/atom
* electronic total energy: -65.14 eV for the cell shown

---

2.
Cs6H5Cl after structural relaxation. Source: Alexandria, functional PBE.

a b c (Å): 8.035 8.035 8.012
angles (deg): 99.64 99.64 120.02
Fractional coordinates of all 12 atoms:
Cs (0.063, 0.413, 0.245)
Cs (0.240, 0.240, 0.764)
Cs (0.413, 0.063, 0.245)
Cs (0.587, 0.937, 0.755)
Cs (0.760, 0.760, 0.236)
Cs (0.937, 0.587, 0.755)
H (0.000, 0.000, 0.000)
H (0.168, 0.832, 0.500)
H (0.335, 0.665, 0.000)
H (0.665, 0.335, 0.000)
H (0.832, 0.168, 0.500)
Cl (0.500, 0.500, 0.500)

* crystal system: monoclinic
* space group: C2/m, No. 12
* electronic total energy: -29.31 eV for the cell shown

---

3.
Ta3Mo8W after structural relaxation. Source: Alexandria, functional PBE.

a b c (Å): 5.310 6.406 6.965
angles (deg): 103.13 110.30 107.75
Fractional coordinates of all 12 atoms:
Ta (0.000, 0.000, 0.000)
Ta (0.003, 0.659, 0.662)
Ta (0.496, 0.749, 0.498)
Mo (0.000, 0.498, 0.001)
Mo (0.001, 0.166, 0.665)
Mo (0.496, 0.246, 0.496)
Mo (0.501, 0.578, 0.832)
Mo (0.502, 0.416, 0.165)
Mo (0.502, 0.915, 0.163)
Mo (0.997, 0.329, 0.330)
Mo (0.997, 0.832, 0.332)
W (0.498, 0.087, 0.835)

* crystal system: triclinic
* space group: P1, No. 1
* energy relative to the elements: -1.42 eV per formula unit
* electronic total energy: -136.58 eV for the cell shown

---

4.
KMn2C after structural relaxation. Source: Alexandria, functional PBE.

a b c (Å): 6.273 6.273 8.887
angles (deg): 90.00 90.00 90.00
Fractional coordinates of all 16 atoms:
K (0.000, 0.250, 0.375)
K (0.000, 0.750, 0.625)
K (0.500, 0.250, 0.125)
K (0.500, 0.750, 0.875)
Mn (0.000, 0.000, 0.000)
Mn (0.000, 0.500, 0.000)
Mn (0.250, 0.250, 0.750)
Mn (0.250, 0.750, 0.250)
Mn (0.500, 0.000, 0.500)
Mn (0.500, 0.500, 0.500)
Mn (0.750, 0.250, 0.750)
Mn (0.750, 0.750, 0.250)
C (0.000, 0.250, 0.875)
C (0.000, 0.750, 0.125)
C (0.500, 0.250, 0.625)
C (0.500, 0.750, 0.375)

* crystal system: tetragonal
* space group: I4_1/amd, No. 141
* energy relative to the elements: 2.72 eV per formula unit
* electronic total energy: -103.77 eV for the cell shown

---

Question: The highest electronic total energy belongs to which entry?
Answer: Cs6H5Cl